KGe2N3 GGA-PBE optimized geometry; magnetization = 0.0000 μB/atom; energy relative to the elements, uncorrected = -0.769 eV/f.u.; raw total energy = -6.0129 eV per atom
1.0
-4.4996 1.2658 -2.5396
0.1961 -5.1116 -2.8951
-2.8471 0.1891 5.1387
N K Ge
6 2 4
Cartesian
-6.3178 -0.5500 1.3317 N
-2.7376 -0.3929 -0.7777 N
-1.8269 -2.8271 -2.1887 N
-6.5505 -2.6626 -0.7246 N
-3.4402 -0.0171 2.0702 N
-4.7046 -3.3600 -2.9272 N
-0.9239 -1.6969 0.7696 K
-3.9944 -2.5878 0.1944 K
-0.0563 -3.4579 -1.8890 Ge
-2.0472 0.0100 3.3671 Ge
-3.0678 -4.2394 -2.5141 Ge
-5.0587 -0.7715 2.7420 Ge

---

ZrTl2P GGA-PBE optimized geometry; magnetization = 0.0000 μB/atom; formation enthalpy at 0 K = 0.189 eV per atom; raw total energy = -4.4838 eV per atom
1.0
-0.9014 1.7468 -3.4883
-0.5384 -3.6016 -1.6644
-5.4856 0.1340 1.4846
Tl Zr P
2 1 1
Cartesian
-4.1009 0.1002 1.1098 Tl
-1.3848 0.0338 0.3748 Tl
-0.7199 -0.9274 -2.5763 Zr
-3.4627 -0.8604 -1.8340 P

---

BaCdTe2 GGA-PBE optimized geometry; magnetization = 0.0000 μB/atom; energy relative to the elements, uncorrected = -3.766 eV/f.u.; raw total energy = -3.2218 eV per atom
1.0
8.2351 -0.0064 -0.0039
6.9500 4.4174 -0.0039
6.9500 2.0189 3.9291
Ba Te Cd
1 2 1
Cartesian
11.0559 3.2116 1.9586 Ba
1.5321 0.4451 0.2714 Te
5.8228 1.6914 1.0315 Te
14.7950 4.2977 2.6210 Cd

---

Ga3NiBi GGA-PBE optimized geometry; magnetization = 0.0002 μB/atom; formation enthalpy at 0 K = 1.181 eV per atom; raw total energy = -2.5676 eV per atom
1.0
-2.4002 1.9583 -4.5641
2.7845 -3.6669 -3.0377
-4.1125 -3.6257 0.6070
Ga Bi Ni
3 1 1
Cartesian
1.3922 -1.8334 -1.5189 Ga
-2.0563 -1.8129 0.3035 Ga
-1.2001 0.9792 -2.2820 Ga
0.0000 0.0000 0.0000 Bi
-1.8641 -2.6671 -3.4974 Ni

---

CuTeAs GGA-PBE optimized geometry; magnetization = 0.0000 μB/atom; energy relative to the elements, uncorrected = -0.133 eV/f.u.; raw total energy = -4.0067 eV per atom
1.0
-1.4920 -1.5663 -3.6456
-4.1928 -2.7678 2.9051
-7.4063 9.9251 -1.2333
Cu Te As
4 4 4
Cartesian
-9.1252 6.2114 -0.1665 Cu
-3.9658 -0.6205 -1.8072 Cu
-6.5050 5.1105 -3.2304 Cu
-6.5861 0.4805 1.2567 Cu
-8.9206 3.8160 0.7790 Te
-4.1705 1.7750 -2.7527 Te
-4.2604 -0.5148 0.7325 Te
-8.8307 6.1058 -2.7062 Te
-11.3174 6.9362 0.4193 As
-6.5656 2.6660 0.3093 As
-6.5255 2.9250 -2.2830 As
-1.7736 -1.3453 -2.3930 As

---

YRuSe2 GGA-PBE optimized geometry; magnetization = 0.0000 μB/atom; energy relative to the elements, uncorrected = -2.431 eV/f.u.; raw total energy = -6.2849 eV per atom
1.0
5.2073 0.0000 0.0000
0.0000 5.2073 0.0000
2.6036 2.6036 7.2866
Y Se Ru
2 4 2
Cartesian
2.6036 5.2073 3.6433 Y
2.6036 2.6036 0.0000 Y
6.5091 6.8135 5.4650 Se
4.2099 1.3018 1.8217 Se
3.9055 3.6010 5.4650 Se
0.9974 3.9055 1.8217 Se
5.2073 2.6036 3.6433 Ru
0.0000 0.0000 0.0000 Ru

---

PrReB GGA-PBE optimized geometry; magnetization = 0.0000 μB/atom; formation enthalpy at 0 K = 0.194 eV per atom; raw total energy = -7.7739 eV per atom
1.0
-3.0468 0.7908 2.2095
-4.9669 -5.7436 -4.7932
1.6120 -1.5169 2.7658
Re B Pr
2 2 2
Cartesian
-1.8516 -3.4085 0.3402 Re
-4.5501 -3.0611 -0.1581 Re
-5.3527 -4.7988 -0.6429 B
-1.0490 -1.6708 0.8250 B
-1.6387 -1.7579 3.3900 Pr
-4.7630 -4.7116 -3.2079 Pr

---

SrEuCuBi GGA-PBE optimized geometry; magnetization = 1.7562 μB/atom; formation enthalpy at 0 K = -0.471 eV per atom; raw total energy = -5.4545 eV per atom
1.0
5.5727 0.0000 0.0000
2.7864 4.8261 0.0000
2.7864 1.6087 4.5501
Eu Cu Bi Sr
1 1 1 1
Cartesian
5.5727 3.2174 2.2751 Eu
2.7864 1.6087 1.1375 Cu
8.3591 4.8261 3.4126 Bi
0.0000 0.0000 0.0000 Sr

---

Sr2TaCr GGA-PBE optimized geometry; magnetization = 0.2921 μB/atom; formation enthalpy at 0 K = 0.583 eV per atom; raw total energy = -5.6268 eV per atom
1.0
3.4874 0.0000 0.0000
0.0000 3.4874 0.0000
0.0000 0.0000 9.5075
Sr Cr Ta
2 1 1
Cartesian
0.0000 0.0000 8.8126 Sr
1.7437 1.7437 3.0167 Sr
1.7437 1.7437 6.4165 Cr
0.0000 0.0000 5.5228 Ta

---

BeIn2Si GGA-PBE optimized geometry; magnetization = 0.0000 μB/atom; energy relative to the elements, uncorrected = 2.448 eV/f.u.; raw total energy = -3.0445 eV per atom
1.0
7.5329 0.0000 0.0000
0.0000 7.5329 0.0000
3.7664 3.7664 2.8638
In Si Be
4 2 2
Cartesian
5.6496 5.8778 2.1479 In
9.4161 9.1879 2.1479 In
5.4214 1.8832 0.7160 In
2.1114 5.6496 0.7160 In
7.5329 3.7664 1.4319 Si
0.0000 0.0000 0.0000 Si
3.7664 3.7664 0.0000 Be
3.7664 7.5329 1.4319 Be

---

CeNdPO2 GGA-PBE optimized geometry; magnetization = 0.0322 μB/atom; energy relative to the elements, uncorrected = -13.118 eV/f.u.; raw total energy = -7.8292 eV per atom
1.0
3.8537 0.0000 0.0000
0.0000 3.8537 0.0000
-1.9269 -1.9269 6.1642
Nd O Ce P
1 2 1 1
Cartesian
0.0000 0.0000 1.7812 Nd
1.9269 0.0000 3.1368 O
0.0000 1.9269 3.1368 O
1.9269 1.9269 4.3329 Ce
0.0000 0.0000 6.1048 P

---

Cs4AgCl2 GGA-PBE optimized geometry; magnetization = 0.0630 μB/atom; energy relative to the elements, uncorrected = -7.261 eV/f.u.; raw total energy = -2.4599 eV per atom
1.0
9.4960 0.5858 -3.0515
-4.8924 8.1599 -3.0516
-0.3119 -0.5923 9.9701
Cs Cl Ag
8 4 2
Cartesian
5.5593 5.0559 2.1805 Cs
4.7740 5.8459 -2.8037 Cs
2.1755 0.9086 6.6710 Cs
1.0701 5.2570 4.6128 Cs
7.4805 2.2623 -0.3738 Cs
3.2705 0.7087 1.6867 Cs
0.5637 4.2954 -0.7462 Cs
6.6614 0.7058 4.2406 Cs
3.8662 2.9822 4.4259 Cl
-0.8812 2.6880 5.9514 Cl
4.0217 3.2782 -0.5586 Cl
1.5766 7.3583 -2.0847 Cl
4.2917 8.1532 3.8670 Ag
-1.4512 5.9701 1.9335 Ag